(1)
Material: LiVZnGe
Method: DFT, PBE
State: relaxed

```
data_LiVZnGe
_chemical_formula_sum 'Li4 V4 Zn4 Ge4'
_cell_length_a 6.154
_cell_length_b 6.154
_cell_length_c 6.154
_cell_angle_alpha 90.00
_cell_angle_beta 90.00
_cell_angle_gamma 90.00
_symmetry_space_group_name_H-M 'F -4 3 m'
_symmetry_Int_Tables_number 216
_symmetry_space_group_name_Hall 'F -4 2 3'
loop_
_atom_site_label
_atom_site_fract_x
_atom_site_fract_y
_atom_site_fract_z
Li1 0.000 0.000 0.000
V1 0.000 0.000 0.500
Zn1 0.250 0.250 0.250
Ge1 0.250 0.250 0.750
```

(2)
# LiGe3W, relaxed, DFT PBE
# Energy relative to the lowest polymorph listed for this composition (meV/atom): 0.0
data_LiGe3W
_chemical_formula_sum 'Li1 Ge3 W1'
_cell_length_a 4.931
_cell_length_b 4.931
_cell_length_c 4.931
_cell_angle_alpha 90.00
_cell_angle_beta 90.00
_cell_angle_gamma 90.00
_symmetry_space_group_name_H-M 'P m -3 m'
_symmetry_Int_Tables_number 221
_symmetry_space_group_name_Hall '-P 4 2 3'
loop_
_atom_site_label
_atom_site_fract_x
_atom_site_fract_y
_atom_site_fract_z
Li1 0.000 0.000 0.000
Ge1 0.000 0.500 0.500
W1 0.500 0.500 0.500

(3)
Material: LiGeW2
Method: DFT, PBE
State: relaxed

```
data_LiGeW2
_chemical_formula_sum 'Li4 Ge4 W8'
_cell_length_a 3.716
_cell_length_b 3.716
_cell_length_c 19.020
_cell_angle_alpha 90.00
_cell_angle_beta 90.00
_cell_angle_gamma 90.00
_symmetry_space_group_name_H-M 'I -4 2 d'
_symmetry_Int_Tables_number 122
_symmetry_space_group_name_Hall 'I -4 2bw'
loop_
_atom_site_label
_atom_site_fract_x
_atom_site_fract_y
_atom_site_fract_z
Li1 0.000 0.000 0.000
Ge1 0.000 0.000 0.500
W1 0.244 0.250 0.625
```

(4)
Material: LiGeW
Method: DFT, PBE
State: relaxed

```
data_LiGeW
_chemical_formula_sum 'Li4 Ge4 W4'
_cell_length_a 3.184
_cell_length_b 3.184
_cell_length_c 22.000
_cell_angle_alpha 90.00
_cell_angle_beta 90.00
_cell_angle_gamma 90.00
_symmetry_space_group_name_H-M 'I 4/m m m'
_symmetry_Int_Tables_number 139
_symmetry_space_group_name_Hall '-I 4 2'
loop_
_atom_site_label
_atom_site_fract_x
_atom_site_fract_y
_atom_site_fract_z
Li1 0.000 0.000 0.077
Ge1 0.000 0.000 0.355
W1 0.000 0.000 0.217
```

(5)
Material: LiZnGeW2
Method: DFT, PBE
State: relaxed

```
data_LiZnGeW2
_chemical_formula_sum 'Li1 Zn1 Ge1 W2'
_cell_length_a 4.380
_cell_length_b 4.380
_cell_length_c 3.956
_cell_angle_alpha 90.00
_cell_angle_beta 90.00
_cell_angle_gamma 90.00
_symmetry_space_group_name_H-M 'P 4/m m m'
_symmetry_Int_Tables_number 123
_symmetry_space_group_name_Hall '-P 4 2'
loop_
_atom_site_label
_atom_site_fract_x
_atom_site_fract_y
_atom_site_fract_z
Li1 0.000 0.000 0.000
Zn1 0.000 0.000 0.500
Ge1 0.500 0.500 0.500
W1 0.000 0.500 0.000
```

(6)
# LiYGe, relaxed, DFT PBE
# Energy relative to the lowest polymorph listed for this composition (meV/atom): 179.2
data_LiYGe
_chemical_formula_sum 'Li4 Y4 Ge4'
_cell_length_a 10.599
_cell_length_b 4.246
_cell_length_c 7.187
_cell_angle_alpha 90.00
_cell_angle_beta 127.79
_cell_angle_gamma 90.00
_symmetry_space_group_name_H-M 'C 1 2/m 1'
_symmetry_Int_Tables_number 12
loop_
_symmetry_equiv_pos_as_xyz
'x,y,z'
'-x,-y,-z'
'-x,y,-z'
'x,-y,z'
'x+1/2,y+1/2,z'
'-x+1/2,-y+1/2,-z'
'-x+1/2,y+1/2,-z'
'x+1/2,-y+1/2,z'
loop_
_atom_site_label
_atom_site_fract_x
_atom_site_fract_y
_atom_site_fract_z
Li1 0.188 0.000 0.087
Y1 0.060 0.500 0.317
Ge1 0.158 0.000 0.677

(7)
# LiYGe, relaxed, DFT PBE
# Energy relative to the lowest polymorph listed for this composition (meV/atom): 320.8
data_LiYGe
_chemical_formula_sum 'Li2 Y2 Ge2'
_cell_length_a 4.653
_cell_length_b 3.975
_cell_length_c 7.336
_cell_angle_alpha 90.00
_cell_angle_beta 108.38
_cell_angle_gamma 90.00
_symmetry_space_group_name_H-M 'P 1 m 1'
_symmetry_Int_Tables_number 6
loop_
_symmetry_equiv_pos_as_xyz
'x,y,z'
'x,-y,z'
loop_
_atom_site_label
_atom_site_fract_x
_atom_site_fract_y
_atom_site_fract_z
Li1 0.000 0.000 0.000
Li2 0.157 0.500 0.312
Y1 0.492 0.500 0.984
Y2 0.803 0.500 0.604
Ge1 0.337 0.000 0.670
Ge2 0.637 0.000 0.284

(8)
# LiYGe, relaxed, DFT PBE
# Energy relative to the lowest polymorph listed for this composition (meV/atom): 145.0
data_LiYGe
_chemical_formula_sum 'Li1 Y1 Ge1'
_cell_length_a 4.3922
_cell_length_b 4.3922
_cell_length_c 3.6468
_cell_angle_alpha 90.00
_cell_angle_beta 90.00
_cell_angle_gamma 120.00
_symmetry_space_group_name_H-M 'P -6 m 2'
_symmetry_Int_Tables_number 187
_symmetry_space_group_name_Hall 'P -6 2'
loop_
_atom_site_label
_atom_site_fract_x
_atom_site_fract_y
_atom_site_fract_z
Li1 0.0000 0.0000 0.0000
Y1 0.3333 0.6667 0.5000
Ge1 0.6667 0.3333 0.0000

(9)
# LiYGe, relaxed, DFT PBE
# Energy relative to the lowest polymorph listed for this composition (meV/atom): 251.1
data_LiYGe
_chemical_formula_sum 'Li4 Y4 Ge4'
_cell_length_a 4.539
_cell_length_b 4.298
_cell_length_c 13.818
_cell_angle_alpha 90.00
_cell_angle_beta 90.00
_cell_angle_gamma 90.00
_symmetry_space_group_name_H-M 'A m m 2'
_symmetry_Int_Tables_number 38
loop_
_symmetry_equiv_pos_as_xyz
'x,y,z'
'-x,-y,z'
'-x,y,z'
'x,-y,z'
'x,y+1/2,z+1/2'
'-x,-y+1/2,z+1/2'
'-x,y+1/2,z+1/2'
'x,-y+1/2,z+1/2'
loop_
_atom_site_label
_atom_site_fract_x
_atom_site_fract_y
_atom_site_fract_z
Li1 0.000 0.000 0.000
Li2 0.000 0.000 0.198
Y1 0.500 0.000 0.515
Y2 0.500 0.000 0.801
Ge1 0.000 0.000 0.381
Ge2 0.500 0.000 0.140

(10)
# LiYGe, relaxed, DFT PBE
# Energy relative to the lowest polymorph listed for this composition (meV/atom): 603.9
data_LiYGe
_chemical_formula_sum 'Li1 Y1 Ge1'
_cell_length_a 4.9300
_cell_length_b 4.9300
_cell_length_c 3.4449
_cell_angle_alpha 90.00
_cell_angle_beta 90.00
_cell_angle_gamma 120.00
_symmetry_space_group_name_H-M 'P -6 m 2'
_symmetry_Int_Tables_number 187
_symmetry_space_group_name_Hall 'P -6 2'
loop_
_atom_site_label
_atom_site_fract_x
_atom_site_fract_y
_atom_site_fract_z
Li1 0.0000 0.0000 0.0000
Y1 0.3333 0.6667 0.5000
Ge1 0.6667 0.3333 0.5000

(11)
Material: Li3YGe3
Method: DFT, PBE
State: relaxed

```
data_Li3YGe3
_chemical_formula_sum 'Li6 Y2 Ge6'
_cell_length_a 6.631
_cell_length_b 6.631
_cell_length_c 6.631
_cell_angle_alpha 90.00
_cell_angle_beta 90.00
_cell_angle_gamma 90.00
_symmetry_space_group_name_H-M 'P m -3 n'
_symmetry_Int_Tables_number 223
_symmetry_space_group_name_Hall '-P 4n 2 3'
loop_
_atom_site_label
_atom_site_fract_x
_atom_site_fract_y
_atom_site_fract_z
Li1 0.000 0.250 0.500
Y1 0.000 0.000 0.000
Ge1 0.000 0.500 0.250
```

(12)
# LiYGe, relaxed, DFT PBE
# Energy relative to the lowest polymorph listed for this composition (meV/atom): 234.8
data_LiYGe
_chemical_formula_sum 'Li4 Y4 Ge4'
_cell_length_a 3.948
_cell_length_b 4.210
_cell_length_c 14.946
_cell_angle_alpha 90.00
_cell_angle_beta 90.00
_cell_angle_gamma 90.00
_symmetry_space_group_name_H-M 'I m m 2'
_symmetry_Int_Tables_number 44
loop_
_symmetry_equiv_pos_as_xyz
'x,y,z'
'-x,-y,z'
'-x,y,z'
'x,-y,z'
'x+1/2,y+1/2,z+1/2'
'-x+1/2,-y+1/2,z+1/2'
'-x+1/2,y+1/2,z+1/2'
'x+1/2,-y+1/2,z+1/2'
loop_
_atom_site_label
_atom_site_fract_x
_atom_site_fract_y
_atom_site_fract_z
Li1 0.000 0.000 0.000
Li2 0.000 0.500 0.245
Y1 0.000 0.000 0.411
Y2 0.000 0.500 0.669
Ge1 0.000 0.000 0.835
Ge2 0.000 0.500 0.082

Values for energy, eV/cell, ordered as above
-68.737, -27.364, -119.615, -77.692, -26.864, -58.642, -28.471, -14.763, -57.779, -13.386, -49.308, -57.974